1.
The following is a PBE calculation of crystalline Tb3In3CuIrPt at its relaxed geometry, from OQMD.

Values from the calculation:
As for the crystal system: hexagonal. The calculation puts the spin magnetization at 0.0 μB per cell. The calculation puts the calculated density at 10859 kg/m³. Its total energy is -5.26 eV per atom.

Cell: 7.6291 7.6291 3.8591 Å, 90.00 90.00 120.00°
Space group P-6 (No. 174)
Unique sites:
Tb 0.0084 0.5913 0.0000 (multiplicity 3)
In 0.0011 0.2521 0.5000 (multiplicity 3)
Cu 0.0000 0.0000 0.0000 (multiplicity 1)
Ir 0.3333 0.6667 0.5000 (multiplicity 1)
Pt 0.6667 0.3333 0.5000 (multiplicity 1)

***

2.
The following is a PBE calculation of crystalline InCuIrS3 at its relaxed geometry, from OQMD.

Values from the calculation:
As for the crystal system: orthorhombic. The calculation puts the spin magnetization at 0.0 μB per cell. The calculation puts the calculated density at 7210 kg/m³. Its total energy is -4.79 eV per atom.

Cell: 3.707 12.412 9.346 Å, 90.00 90.00 90.00°
Space group Cmcm (No. 63)
Unique sites:
In 0.000 0.245 0.250 (multiplicity 4)
Cu 0.000 0.046 0.750 (multiplicity 4)
Ir 0.000 0.500 0.000 (multiplicity 4)
S 0.000 0.125 0.533 (multiplicity 8)
S 0.000 0.429 0.750 (multiplicity 4)

***

Look up the spin magnetization of the second one. 0.0 μB per cell

***

Which value of calculated density does entry 1 give? 10859 kg/m³

***

The highest calculated density belongs to which entry? Tb3In3CuIrPt

***

Which value of spin magnetization does entry 2 give? 0.0 μB per cell